1.
Compound: CaHg7
Source: Alexandria
Functional: GGA-PBE
Structure: relaxed

Cell and atoms, written as POSCAR:
```
CaHg7
1.0
4.633 0.000 -1.138
-0.279 4.625 -1.138
-0.059 -0.063 9.762
Hg Ca
7 1
Direct
0.125 0.625 0.250
0.248 0.248 0.496
0.375 0.875 0.750
0.752 0.752 0.504
0.625 0.125 0.250
0.500 0.500 0.000
0.875 0.375 0.750
0.000 0.000 0.000
```

## Properties
- Crystal system: tetragonal
- DOS(E_F): 0.36 states/eV/atom


2.
Compound: Ca3Hg
Source: Alexandria
Functional: GGA-PBE
Structure: relaxed

Cell and atoms, written as POSCAR:
```
Ca3Hg
1.0
5.087 0.000 0.000
0.000 5.087 0.000
0.000 0.000 5.087
Ca Hg
3 1
Direct
0.500 0.000 0.000
0.000 0.000 0.500
0.000 0.500 0.000
0.500 0.500 0.500
```

## Properties
- Crystal system: cubic
- DOS(E_F): 1.46 states/eV/atom


Number 1: relative energy among the computed polymorphs 0 meV/atom, energy of formation from the pure elements -4.3 kcal/mol of atoms, total moment 0.0 μB/cell. Number 2: relative energy among the computed polymorphs 114 meV/atom, energy of formation from the pure elements -4.4 kcal/mol of atoms, total moment 0.0 μB/cell.